# 1
Below is a relaxed structure of ReBi2B, with properties calculated at the PBE-GGA level.

Calculated values
Space group: I-42d
Formation enthalpy at 0 K: 1.449 eV/atom
Crystal system: tetragonal

Cell: 6.1322 6.1322 6.9494 Å, 63.82 63.82 90.00°
Closest atoms and distances in Å follow each position.
Positions (direct):
Re1 0.7500 0.2500 0.5000  4 Bi 2.72
Re2 0.0000 0.0000 0.0000  4 Bi 2.72
Bi1 0.8750 0.8324 0.7500  2 B 2.41
Bi2 0.1676 0.6250 0.2500  2 B 2.41
Bi3 0.5824 0.1250 0.2500  2 B 2.41
Bi4 0.3750 0.4176 0.7500  2 B 2.41
B1 0.2500 0.7500 0.5000  4 Bi 2.41
B2 0.5000 0.5000 0.0000  4 Bi 2.41

---

# 2
Below is a relaxed structure of SiTeSe, with properties calculated at the PBE-GGA level.

Calculated values
Formation energy (no corrections): 279 meV/atom
Space group: I4mm
Polymorph energy (0 for the lowest one): 0.447 eV per atom
Crystal system: tetragonal

Cell: 7.5735 7.5735 7.5735 Å, 155.32 155.32 35.18°
Closest atoms and distances in Å follow each position.
Positions (direct):
Si1 0.3674 0.3674 0.0000  4 Se 2.58
Te1 0.6833 0.6833 0.0000  4 Te 3.24, 4 Si 3.51
Se1 0.9493 0.9493 0.0000  4 Si 2.58

---

# 3
Below is a relaxed structure of NaReAs2O8, with properties calculated at the PBE-GGA level.

Calculated values
Formation energy (no corrections): -1257 meV/atom
Space group: R-3
Crystal system: trigonal

Cell: 4.9789 4.9789 8.9216 Å, 73.80 73.80 60.00°
Closest atoms and distances in Å follow each position.
Positions (direct):
As1 0.2615 0.2615 0.2156  4 O 1.66-1.76
As2 0.7385 0.7385 0.7844  4 O 1.66-1.76
O1 0.3723 0.7392 0.8611  1 As 1.76, 1 Re 1.97
O2 0.6277 0.2608 0.1389  1 As 1.76, 1 Re 1.97
O3 0.0274 0.3723 0.8611  1 As 1.76, 1 Re 1.97
O4 0.2608 0.9726 0.1389  1 As 1.76, 1 Re 1.97
O5 0.1958 0.1958 0.4125  1 As 1.66
O6 0.9726 0.6277 0.1389  1 As 1.76, 1 Re 1.97
O7 0.7392 0.0274 0.8611  1 As 1.76, 1 Re 1.97
O8 0.8042 0.8042 0.5875  1 As 1.66
Na1 0.5000 0.5000 0.5000  6 O 2.97
Re1 0.0000 0.0000 0.0000  6 O 1.97

---

# 4
Below is a relaxed structure of NaSr2CuSn, with properties calculated at the PBE-GGA level.

Calculated values
Space group: P4/mmm
Formation enthalpy at 0 K: -0.168 eV/atom
Crystal system: tetragonal

Cell: 6.0494 6.0494 4.8640 Å, 90.00 90.00 90.00°
Closest atoms and distances in Å follow each position.
Positions (direct):
Sn1 0.0000 0.0000 0.5000  2 Cu 2.43
Sr1 0.0000 0.5000 0.0000  2 Cu 3.02
Sr2 0.5000 0.0000 0.0000  2 Cu 3.02
Cu1 0.0000 0.0000 0.0000  2 Sn 2.43
Na1 0.5000 0.5000 0.5000  8 Sr 3.88, 4 Sn 4.28

---

# 5
Below is a relaxed structure of Dy2Tl3RuO6, with properties calculated at the PBE-GGA level.

Calculated values
Formation energy (no corrections): -1737 meV/atom
Space group: C2/m
Crystal system: monoclinic

Cell: 5.7811 5.7811 7.5477 Å, 101.01 101.01 119.48°
Closest atoms and distances in Å follow each position.
Positions (direct):
O1 0.0767 0.3816 0.1531  1 Ru 2.07, 2 Dy 2.28-2.29
O2 0.9233 0.6184 0.8469  1 Ru 2.07, 2 Dy 2.28-2.29
O3 0.2269 0.2269 0.8434  1 Ru 2.08, 2 Dy 2.30
O4 0.6184 0.9233 0.8469  1 Ru 2.07, 2 Dy 2.28-2.29
O5 0.3816 0.0767 0.1531  1 Ru 2.07, 2 Dy 2.28-2.29
O6 0.7731 0.7731 0.1566  1 Ru 2.08, 2 Dy 2.30
Dy1 0.6671 0.3329 0.0000  6 O 2.28-2.30
Dy2 0.3329 0.6671 0.0000  6 O 2.28-2.30
Tl1 0.8373 0.1627 0.5000  4 O 2.92-3.10, 1 Tl 3.25
Tl2 0.1627 0.8373 0.5000  4 O 2.92-3.10, 1 Tl 3.25
Tl3 0.5000 0.5000 0.5000  4 O 2.92
Ru1 0.0000 0.0000 0.0000  6 O 2.07-2.08

---

# 6
Below is a relaxed structure of Ho4Si2Br5, with properties calculated at the PBE-GGA level.

Calculated values
Formation energy (no corrections): -1123 meV/atom
Space group: Immm
Crystal system: orthorhombic

Cell: 4.0995 7.7994 10.8556 Å, 111.05 100.88 90.00°
Closest atoms and distances in Å follow each position.
Positions (direct):
Br1 0.8226 0.5899 0.6451  3 Ho 2.93-3.21
Br2 0.1774 0.9447 0.3549  3 Ho 2.93-3.21
Br3 0.5000 0.0000 0.0000  4 Ho 3.02
Br4 0.1774 0.4101 0.3549  3 Ho 2.93-3.21
Br5 0.8226 0.0553 0.6451  3 Ho 2.93-3.21
Si1 0.4431 0.4431 0.8863  1 Si 2.26
Si2 0.5569 0.5569 0.1137  1 Si 2.26
Ho1 0.6891 0.6891 0.3782  1 Si 2.62, 4 Br 2.93
Ho2 0.0000 0.2838 0.0000  4 Si 2.88, 2 Br 3.02
Ho3 0.3109 0.3109 0.6218  1 Si 2.62, 4 Br 2.93
Ho4 0.0000 0.7162 0.0000  4 Si 2.88, 2 Br 3.02

---

# 7
Below is a relaxed structure of BeCr2Cd, with properties calculated at the PBE-GGA level.

Calculated values
Space group: P4mm
Polymorph energy (0 for the lowest one): 0.000 eV per atom
Formation enthalpy at 0 K: 0.247 eV/atom
Crystal system: tetragonal

Cell: 2.9552 2.9552 6.1433 Å, 90.00 90.00 90.00°
Closest atoms and distances in Å follow each position.
Positions (direct):
Cr1 0.0000 0.0000 0.0661  4 Cr 2.36, 1 Be 2.41
Cr2 0.5000 0.5000 0.2456  4 Cr 2.36, 4 Be 2.47
Be1 0.0000 0.0000 0.4585  5 Cr 2.41-2.47, 4 Cd 2.67
Cd1 0.5000 0.5000 0.7298  4 Be 2.67, 5 Cr 2.94-2.97, 4 Cd 2.96

---

# 8
Below is a relaxed structure of Mg2NiSb, with properties calculated at the PBE-GGA level.

Calculated values
Formation energy (no corrections): -85 meV/atom
Space group: I-4m2
Crystal system: tetragonal

Cell: 5.2030 5.2030 5.2030 Å, 132.90 132.90 68.81°
Closest atoms and distances in Å follow each position.
Positions (direct):
Mg1 0.2500 0.7500 0.5000  4 Sb 2.94, 4 Mg 2.99, 4 Ni 2.99
Mg2 0.0000 0.0000 0.0000  4 Ni 2.94, 4 Sb 2.99, 4 Mg 2.99
Sb1 0.7500 0.2500 0.5000  8 Mg 2.94-2.99, 4 Ni 2.99
Ni1 0.5000 0.5000 0.0000  8 Mg 2.94-2.99, 4 Sb 2.99

---

# 9
Below is a relaxed structure of Ni5Pd12Pt, with properties calculated at the PBE-GGA level.

Calculated values
Space group: C2/m
Formation enthalpy at 0 K: 0.023 eV/atom
Crystal system: monoclinic

Cell: 8.2650 8.1426 4.6914 Å, 105.47 90.00 59.50°
Closest atoms and distances in Å follow each position.
Positions (direct):
Pd1 0.3328 0.6619 0.0022  4 Ni 2.67-2.78, 7 Pd 2.68-2.79, 1 Pt 2.73
Pd2 0.1718 0.3341 0.4972  7 Pd 2.66-2.76, 5 Ni 2.68-2.80
Pd3 0.8328 0.0000 0.5001  3 Ni 2.72-2.75, 2 Pt 2.72, 7 Pd 2.74-2.77
Pd4 0.1672 0.0000 0.4999  3 Ni 2.72-2.75, 2 Pt 2.72, 7 Pd 2.74-2.77
Pd5 0.4941 0.3341 0.4972  7 Pd 2.66-2.76, 5 Ni 2.68-2.80
Pd6 0.0053 0.6619 0.0023  4 Ni 2.67-2.78, 7 Pd 2.68-2.79, 1 Pt 2.73
Pd7 0.6599 0.0000 0.0000  7 Pd 2.64-2.79, 4 Ni 2.68-2.69, 1 Pt 2.81
Pd8 0.6672 0.3381 0.9978  4 Ni 2.67-2.78, 7 Pd 2.68-2.79, 1 Pt 2.73
Pd9 0.9947 0.3381 0.9977  4 Ni 2.67-2.78, 7 Pd 2.68-2.79, 1 Pt 2.73
Pd10 0.3401 0.0000 0.0000  7 Pd 2.64-2.79, 4 Ni 2.68-2.69, 1 Pt 2.81
Pd11 0.5059 0.6659 0.5028  7 Pd 2.66-2.76, 5 Ni 2.68-2.80
Pd12 0.8282 0.6659 0.5028  7 Pd 2.66-2.76, 5 Ni 2.68-2.80
Ni1 0.5000 0.0000 0.5000  10 Pd 2.69-2.75, 2 Ni 2.74
Ni2 0.6660 0.6679 0.0030  10 Pd 2.67-2.78, 2 Ni 2.74-2.77
Ni3 0.8333 0.3335 0.4981  10 Pd 2.68-2.80, 1 Pt 2.75, 1 Ni 2.77
Ni4 0.1668 0.6665 0.5019  10 Pd 2.68-2.80, 1 Pt 2.75, 1 Ni 2.77
Ni5 0.3340 0.3321 0.9970  10 Pd 2.67-2.78, 2 Ni 2.74-2.77
Pt1 0.0000 0.0000 0.0000  10 Pd 2.72-2.81, 2 Ni 2.75

---

# 10
Below is a relaxed structure of ScCoGeRh2, with properties calculated at the PBE-GGA level.

Calculated values
Space group: P4/mmm
Formation enthalpy at 0 K: 1.129 eV/atom
Crystal system: tetragonal

Cell: 4.5711 5.0274 4.5711 Å, 90.00 90.00 90.00°
Closest atoms and distances in Å follow each position.
Positions (direct):
Ge1 0.0000 0.5000 0.0000  2 Sc 2.51
Rh1 0.0000 0.0000 0.5000  2 Sc 2.29
Rh2 0.5000 0.0000 0.0000  2 Sc 2.29
Sc1 0.0000 0.0000 0.0000  4 Rh 2.29, 2 Ge 2.51
Co1 0.5000 0.5000 0.5000  4 Ge 3.23, 8 Rh 3.40

---

# 11
Below is a relaxed structure of LiZr2Ta, with properties calculated at the PBE-GGA level.

Calculated values
Space group: Pm
Polymorph energy (0 for the lowest one): 0.114 eV per atom
Formation enthalpy at 0 K: 0.257 eV/atom
Crystal system: monoclinic

Cell: 5.0986 2.7851 5.7957 Å, 78.74 90.00 90.00°
Closest atoms and distances in Å follow each position.
Positions (direct):
Li1 0.0000 0.6334 0.4917  2 Li 2.79, 5 Zr 2.98-3.08, 2 Ta 2.99
Zr1 0.0000 0.9811 0.9653  2 Zr 2.79, 3 Li 2.98-3.08, 2 Ta 3.07
Zr2 0.5000 0.2811 0.2781  2 Zr 2.79, 2 Ta 2.93-3.07, 2 Li 3.08
Ta1 0.5000 0.6044 0.7649  2 Ta 2.79, 4 Zr 2.93-3.07, 2 Li 2.99

---

# 12
Below is a relaxed structure of Tb2YAu3, with properties calculated at the PBE-GGA level.

Calculated values
Space group: P4/mmm
Formation enthalpy at 0 K: -0.857 eV/atom
Crystal system: tetragonal

Cell: 3.5943 3.5943 10.9375 Å, 90.00 90.00 90.00°
Closest atoms and distances in Å follow each position.
Positions (direct):
Tb1 0.5000 0.5000 0.8330  8 Au 3.13
Tb2 0.5000 0.5000 0.1670  8 Au 3.13
Au1 0.0000 0.0000 0.6663  4 Y 3.13, 4 Tb 3.13
Au2 0.0000 0.0000 0.3337  4 Y 3.13, 4 Tb 3.13
Au3 0.0000 0.0000 0.0000  8 Tb 3.13
Y1 0.5000 0.5000 0.5000  8 Au 3.13

---

Q: Number 12 is which compound?
A: Tb2YAu3